Density functional theory data (GGA-PBE) for crystalline NbReMo2 at its relaxed geometry.

Cell lengths 6.361, 6.361, 6.361 Å; angles 90.00, 90.00, 90.00 degrees
Space group Fm-3m (No. 225)
Asymmetric unit:
Nb (0.000, 0.000, 0.000) [4 per cell]
Re (0.000, 0.000, 0.500) [4 per cell]
Mo (0.250, 0.250, 0.250) [8 per cell]

Summary:
- Energy relative to the lowest polymorph listed for this composition: 2 meV/atom
- Density of states at the Fermi level: 3.66 states/eV per cell
- Energy of formation from the pure elements: -0.099 eV per atom